[1]
Compound: PrNd2Dy6Er
Source: Alexandria via LeMat-Bulk
Functional: PBE-GGA
Structure: optimized geometry

The structure in CIF format:
```
data_PrNd2Dy6Er
_chemical_formula_sum 'Pr4 Nd8 Dy24 Er4'
_cell_length_a 9.083
_cell_length_b 15.090
_cell_length_c 9.726
_cell_angle_alpha 90.00
_cell_angle_beta 98.53
_cell_angle_gamma 90.00
_symmetry_space_group_name_H-M 'C 1 2/c 1'
_symmetry_Int_Tables_number 15
loop_
_symmetry_equiv_pos_as_xyz
'x,y,z'
'-x,-y,-z'
'-x,y,-z+1/2'
'x,-y,z+1/2'
'x+1/2,y+1/2,z'
'-x+1/2,-y+1/2,-z'
'-x+1/2,y+1/2,-z+1/2'
'x+1/2,-y+1/2,z+1/2'
loop_
_atom_site_label
_atom_site_type_symbol
_atom_site_fract_x
_atom_site_fract_y
_atom_site_fract_z
_atom_site_occupancy
Pr1 Pr 0.000 0.018 0.250 1
Nd1 Nd 0.247 0.051 0.543 1
Dy1 Dy 0.068 0.191 0.943 1
Dy2 Dy 0.098 0.393 0.119 1
Dy3 Dy 0.205 0.224 0.314 1
Er1 Er 0.000 0.408 0.750 1
```

Calculated values
**Energy relative to the elements**: 0.1162 eV/atom
**Total magnetic moment**: 0.0 μB/f.u.
**Calculated volume**: 1318 Å³/cell

=====

[2]
Compound: PrNd2Dy6Er3
Source: Alexandria via LeMat-Bulk
Functional: PBE-GGA
Structure: optimized geometry

The structure in CIF format:
```
data_PrNd2Dy6Er3
_chemical_formula_sum 'Pr2 Nd4 Dy12 Er6'
_cell_length_a 6.190
_cell_length_b 10.715
_cell_length_c 11.818
_cell_angle_alpha 90.00
_cell_angle_beta 100.02
_cell_angle_gamma 90.00
_symmetry_space_group_name_H-M 'C 1 2/m 1'
_symmetry_Int_Tables_number 12
loop_
_symmetry_equiv_pos_as_xyz
'x,y,z'
'-x,-y,-z'
'-x,y,-z'
'x,-y,z'
'x+1/2,y+1/2,z'
'-x+1/2,-y+1/2,-z'
'-x+1/2,y+1/2,-z'
'x+1/2,-y+1/2,z'
loop_
_atom_site_label
_atom_site_type_symbol
_atom_site_fract_x
_atom_site_fract_y
_atom_site_fract_z
_atom_site_occupancy
Pr1 Pr 0.000 0.000 0.000 1
Nd1 Nd 0.000 0.333 0.000 1
Dy1 Dy 0.247 0.333 0.745 1
Dy2 Dy 0.248 0.000 0.745 1
Er1 Er 0.000 0.167 0.500 1
Er2 Er 0.000 0.500 0.500 1
```

Calculated values
**Energy relative to the elements**: 0.0201 eV/atom
**Total magnetic moment**: 0.0 μB/f.u.
**Calculated volume**: 772 Å³/cell

=====

[3]
Compound: Pr5NdDy2Er
Source: Alexandria via LeMat-Bulk
Functional: PBE-GGA
Structure: optimized geometry

The structure in CIF format:
```
data_Pr5NdDy2Er
_chemical_formula_sum 'Pr20 Nd4 Dy8 Er4'
_cell_length_a 9.491
_cell_length_b 9.491
_cell_length_c 14.182
_cell_angle_alpha 90.00
_cell_angle_beta 90.00
_cell_angle_gamma 90.00
_symmetry_space_group_name_H-M 'I 4/m c m'
_symmetry_Int_Tables_number 140
_symmetry_space_group_name_Hall '-I 4 2c'
loop_
_atom_site_label
_atom_site_type_symbol
_atom_site_fract_x
_atom_site_fract_y
_atom_site_fract_z
_atom_site_occupancy
Pr1 Pr 0.000 0.000 0.000 1
Pr2 Pr 0.202 0.298 0.132 1
Nd1 Nd 0.000 0.000 0.250 1
Dy1 Dy 0.108 0.392 0.500 1
Er1 Er 0.000 0.500 0.250 1
```

Calculated values
**Energy relative to the elements**: 0.2911 eV/atom
**Total magnetic moment**: 0.0 μB/f.u.
**Calculated volume**: 1277 Å³/cell

=====

[4]
Compound: Pr3NdDyEr
Source: Alexandria via LeMat-Bulk
Functional: PBE-GGA
Structure: optimized geometry

The structure in CIF format:
```
data_Pr3NdDyEr
_chemical_formula_sum 'Pr12 Nd4 Dy4 Er4'
_cell_length_a 5.151
_cell_length_b 15.519
_cell_length_c 10.284
_cell_angle_alpha 90.00
_cell_angle_beta 90.00
_cell_angle_gamma 90.00
_symmetry_space_group_name_H-M 'C m c m'
_symmetry_Int_Tables_number 63
_symmetry_space_group_name_Hall '-C 2c 2'
loop_
_atom_site_label
_atom_site_type_symbol
_atom_site_fract_x
_atom_site_fract_y
_atom_site_fract_z
_atom_site_occupancy
Pr1 Pr 0.000 0.166 0.001 1
Pr2 Pr 0.000 0.333 0.250 1
Nd1 Nd 0.000 0.500 0.000 1
Dy1 Dy 0.000 0.002 0.250 1
Er1 Er 0.000 0.335 0.750 1
```

Calculated values
**Energy relative to the elements**: 0.0182 eV/atom
**Total magnetic moment**: 0.0 μB/f.u.
**Calculated volume**: 822 Å³/cell

=====

[5]
Compound: PrNd6Dy2Er3
Source: Alexandria via LeMat-Bulk
Functional: PBE-GGA
Structure: optimized geometry

The structure in CIF format:
```
data_PrNd6Dy2Er3
_chemical_formula_sum 'Pr2 Nd12 Dy4 Er6'
_cell_length_a 6.281
_cell_length_b 10.878
_cell_length_c 11.898
_cell_angle_alpha 90.00
_cell_angle_beta 100.10
_cell_angle_gamma 90.00
_symmetry_space_group_name_H-M 'C 1 2/m 1'
_symmetry_Int_Tables_number 12
loop_
_symmetry_equiv_pos_as_xyz
'x,y,z'
'-x,-y,-z'
'-x,y,-z'
'x,-y,z'
'x+1/2,y+1/2,z'
'-x+1/2,-y+1/2,-z'
'-x+1/2,y+1/2,-z'
'x+1/2,-y+1/2,z'
loop_
_atom_site_label
_atom_site_type_symbol
_atom_site_fract_x
_atom_site_fract_y
_atom_site_fract_z
_atom_site_occupancy
Pr1 Pr 0.000 0.000 0.000 1
Nd1 Nd 0.248 0.333 0.747 1
Nd2 Nd 0.249 0.000 0.747 1
Dy1 Dy 0.000 0.333 0.000 1
Er1 Er 0.000 0.167 0.500 1
Er2 Er 0.000 0.500 0.500 1
```

Calculated values
**Energy relative to the elements**: 0.0144 eV/atom
**Total magnetic moment**: 0.0 μB/f.u.
**Calculated volume**: 800 Å³/cell

=====

[6]
Compound: Pr3Nd6DyEr2
Source: Alexandria via LeMat-Bulk
Functional: PBE-GGA
Structure: optimized geometry

The structure in CIF format:
```
data_Pr3Nd6DyEr2
_chemical_formula_sum 'Pr6 Nd12 Dy2 Er4'
_cell_length_a 6.333
_cell_length_b 10.973
_cell_length_c 12.052
_cell_angle_alpha 90.00
_cell_angle_beta 100.10
_cell_angle_gamma 90.00
_symmetry_space_group_name_H-M 'C 1 2/m 1'
_symmetry_Int_Tables_number 12
loop_
_symmetry_equiv_pos_as_xyz
'x,y,z'
'-x,-y,-z'
'-x,y,-z'
'x,-y,z'
'x+1/2,y+1/2,z'
'-x+1/2,-y+1/2,-z'
'-x+1/2,y+1/2,-z'
'x+1/2,-y+1/2,z'
loop_
_atom_site_label
_atom_site_type_symbol
_atom_site_fract_x
_atom_site_fract_y
_atom_site_fract_z
_atom_site_occupancy
Pr1 Pr 0.000 0.000 0.000 1
Pr2 Pr 0.000 0.333 0.000 1
Nd1 Nd 0.248 0.000 0.744 1
Nd2 Nd 0.249 0.333 0.744 1
Dy1 Dy 0.000 0.500 0.500 1
Er1 Er 0.000 0.167 0.500 1
```

Calculated values
**Energy relative to the elements**: 0.0171 eV/atom
**Total magnetic moment**: 0.0 μB/f.u.
**Calculated volume**: 825 Å³/cell

=====

[7]
Compound: PrNdDy2Er5
Source: Alexandria via LeMat-Bulk
Functional: PBE-GGA
Structure: optimized geometry

The structure in CIF format:
```
data_PrNdDy2Er5
_chemical_formula_sum 'Pr4 Nd4 Dy8 Er20'
_cell_length_a 8.836
_cell_length_b 8.836
_cell_length_c 14.924
_cell_angle_alpha 90.00
_cell_angle_beta 90.00
_cell_angle_gamma 90.00
_symmetry_space_group_name_H-M 'I 4/m c m'
_symmetry_Int_Tables_number 140
_symmetry_space_group_name_Hall '-I 4 2c'
loop_
_atom_site_label
_atom_site_type_symbol
_atom_site_fract_x
_atom_site_fract_y
_atom_site_fract_z
_atom_site_occupancy
Pr1 Pr 0.000 0.000 0.250 1
Nd1 Nd 0.000 0.500 0.250 1
Dy1 Dy 0.115 0.385 0.000 1
Er1 Er 0.000 0.000 0.000 1
Er2 Er 0.204 0.296 0.368 1
```

Calculated values
**Energy relative to the elements**: 0.2748 eV/atom
**Total magnetic moment**: 0.0 μB/f.u.
**Calculated volume**: 1165 Å³/cell

=====

[8]
Compound: PrNdDy5Er2
Source: Alexandria via LeMat-Bulk
Functional: PBE-GGA
Structure: optimized geometry

The structure in CIF format:
```
data_PrNdDy5Er2
_chemical_formula_sum 'Pr4 Nd4 Dy20 Er8'
_cell_length_a 5.617
_cell_length_b 19.821
_cell_length_c 10.659
_cell_angle_alpha 90.00
_cell_angle_beta 90.00
_cell_angle_gamma 90.00
_symmetry_space_group_name_H-M 'C m c 21'
_symmetry_Int_Tables_number 36
loop_
_symmetry_equiv_pos_as_xyz
'x,y,z'
'-x,-y,z+1/2'
'-x,y,z'
'x,-y,z+1/2'
'x+1/2,y+1/2,z'
'-x+1/2,-y+1/2,z+1/2'
'-x+1/2,y+1/2,z'
'x+1/2,-y+1/2,z+1/2'
loop_
_atom_site_label
_atom_site_type_symbol
_atom_site_fract_x
_atom_site_fract_y
_atom_site_fract_z
_atom_site_occupancy
Pr1 Pr 0.000 0.203 0.000 1
Nd1 Nd 0.000 0.417 0.439 1
Dy1 Dy 0.000 0.017 0.016 1
Dy2 Dy 0.000 0.282 0.297 1
Dy3 Dy 0.000 0.299 0.697 1
Dy4 Dy 0.000 0.393 0.013 1
Dy5 Dy 0.000 0.478 0.725 1
Er1 Er 0.000 0.109 0.724 1
Er2 Er 0.000 0.114 0.310 1
```

Calculated values
**Energy relative to the elements**: 0.1595 eV/atom
**Total magnetic moment**: 0.0 μB/f.u.
**Calculated volume**: 1187 Å³/cell

=====

[9]
Compound: Pr2NdDy3Er6
Source: Alexandria via LeMat-Bulk
Functional: PBE-GGA
Structure: optimized geometry

The structure in CIF format:
```
data_Pr2NdDy3Er6
_chemical_formula_sum 'Pr4 Nd2 Dy6 Er12'
_cell_length_a 6.187
_cell_length_b 10.708
_cell_length_c 11.748
_cell_angle_alpha 90.00
_cell_angle_beta 100.07
_cell_angle_gamma 90.00
_symmetry_space_group_name_H-M 'C 1 2/m 1'
_symmetry_Int_Tables_number 12
loop_
_symmetry_equiv_pos_as_xyz
'x,y,z'
'-x,-y,-z'
'-x,y,-z'
'x,-y,z'
'x+1/2,y+1/2,z'
'-x+1/2,-y+1/2,-z'
'-x+1/2,y+1/2,-z'
'x+1/2,-y+1/2,z'
loop_
_atom_site_label
_atom_site_type_symbol
_atom_site_fract_x
_atom_site_fract_y
_atom_site_fract_z
_atom_site_occupancy
Pr1 Pr 0.000 0.167 0.000 1
Nd1 Nd 0.000 0.500 0.000 1
Dy1 Dy 0.000 0.000 0.500 1
Dy2 Dy 0.000 0.333 0.500 1
Er1 Er 0.248 0.167 0.746 1
Er2 Er 0.248 0.500 0.746 1
```

Calculated values
**Energy relative to the elements**: 0.0209 eV/atom
**Total magnetic moment**: 0.0 μB/f.u.
**Calculated volume**: 766 Å³/cell